An optimized crystal structure of NaSrNb. Source: the Alexandria database, functional GGA-PBE.

Calculated values
- Space group: Cm
- Formation enthalpy at 0 K: 664 meV per atom
- Relative energy among the computed polymorphs: 115 kJ/mol of formula units

a = 5.8835 Å, b = 6.8226 Å, c = 6.0563 Å
α = 103.41°, β = 60.92°, γ = 90.01°
Atoms (fractional coordinates):
Na: 0.6923 0.5962 0.5557
Na: 0.9241 0.0809 0.0917
Nb: 0.5919 0.1414 0.7560
Nb: 0.4000 0.3552 0.1398
Sr: 0.3063 0.8976 0.3273
Sr: 0.0543 0.4787 0.8313